La6CoPtRh2 (GGA-PBE, optimized geometry); M_tot = 0.00 μB/f.u.; calculated formation energy = -0.582 eV per atom
1.0
7.1626 0.0000 0.0000
3.5806 6.2106 0.0000
3.5807 2.0662 6.6180
La Co Pt Rh
6 1 1 2
direct
0.0000 0.0000 0.0000
0.1498 0.8189 0.5124
0.3066 0.3339 0.0004
0.4849 0.1601 0.5115
0.6659 0.6411 0.9996
0.8251 0.4842 0.5121
0.0773 0.4113 0.7408
0.5752 0.9094 0.2464
0.2365 0.5711 0.2624
0.7328 0.0674 0.7731

La8CoRuPt2 (GGA-PBE, optimized geometry); M_tot = 0.00 μB/f.u.; calculated formation energy = -0.483 eV per atom
1.0
6.7860 0.0000 0.0000
0.0000 8.5063 0.0000
-0.1268 0.0000 6.8403
La Co Ru Pt
8 1 1 2
direct
0.1583 0.2465 0.2798
0.1583 0.7535 0.2798
0.3324 0.0000 0.7504
0.3395 0.5000 0.7533
0.6605 0.5000 0.2467
0.6676 0.0000 0.2496
0.8417 0.2465 0.7202
0.8417 0.7535 0.7202
0.0000 0.0000 0.5000
0.0000 0.5000 0.5000
0.5000 0.2476 0.0000
0.5000 0.7524 0.0000

LaCo2PtSe (GGA-PBE, optimized geometry); energy relative to the elements, uncorrected = 55 meV per atom; M_tot = 3.14 μB/f.u.
1.0
4.3577 0.0000 0.0000
0.0000 4.3577 0.0000
0.0000 0.0000 5.7899
La Co Pt Se
1 2 1 1
direct
0.0000 0.0000 0.0000
0.0000 0.5000 0.5000
0.5000 0.0000 0.5000
0.5000 0.5000 0.0000
0.0000 0.0000 0.5000